a:
Rb2Sn2Te5: optimized geometry, GGA-PBE.

extended XYZ file:
```
18
Lattice="-1.755 -9.092 3.609 5.009 0.963 4.863 -8.827 8.080 2.380" Properties=species:S:1:pos:R:3 pbc="T T T"
Rb -2.387 -4.149 3.522
Sn -2.045 -1.304 7.011
Te -1.830 1.900 1.807
Rb -2.939 4.148 7.553
Sn 1.677 -4.050 4.309
Te -5.959 1.813 8.488
Te 0.556 -1.819 2.502
Te -4.815 3.552 4.554
Te -3.936 -1.210 4.886
Rb -6.510 -1.856 7.313
Te 3.057 -1.356 4.940
Sn 0.052 0.023 0.070
Sn -3.979 1.169 3.406
Te -1.046 1.269 6.525
Rb 1.181 1.843 3.766
Te -0.471 -3.553 6.594
Te -8.467 1.315 6.063
Te -3.452 -1.877 9.331
```

Calculated values
**Space-group type**: Cc (9)
**Crystal system**: monoclinic



b:
Rb2Sn2Te5: optimized geometry, GGA-PBE.

extended XYZ file:
```
9
Lattice="5.845 0.000 0.000 -2.922 8.725 -1.388 0.000 -3.184 8.453" Properties=species:S:1:pos:R:3 pbc="T T T"
Te 0.000 0.000 0.000
Rb 0.000 5.533 4.624
Rb 2.922 0.009 2.441
Te 0.000 2.653 7.056
Sn 0.000 -0.277 7.636
Te 2.922 2.888 0.008
Te 2.922 5.801 2.329
Sn 2.922 5.819 -0.571
Te 0.000 -0.259 4.736
```

Calculated values
**Space-group type**: C2/m (12)
**Crystal system**: monoclinic



The most stable arrangement is b, and the next structure is 49 meV per atom less stable.



a:
RbTl2Sn2: optimized geometry, GGA-PBE.

extended XYZ file:
```
5
Lattice="-3.674 2.526 3.176 -3.946 -3.224 -2.000 -2.790 -4.258 4.876" Properties=species:S:1:pos:R:3 pbc="T T T"
Sn -6.850 -3.645 4.409
Tl -5.136 -1.041 4.320
Sn -3.559 -1.311 1.643
Tl -5.273 -3.915 1.732
Rb 0.000 0.000 0.000
```

Calculated values
**Space-group type**: I4/mmm (139)
**Crystal system**: tetragonal



b:
RbTl2Sn2: optimized geometry, GGA-PBE.

extended XYZ file:
```
5
Lattice="4.518 0.000 0.000 0.000 4.518 0.000 2.259 2.259 8.901" Properties=species:S:1:pos:R:3 pbc="T T T"
Sn 2.259 4.518 4.450
Tl 2.259 2.259 2.130
Rb 0.000 0.000 0.000
Sn 4.518 2.259 4.450
Tl 4.518 4.518 6.771
```

Calculated values
**Space-group type**: I4/mmm (139)
**Crystal system**: tetragonal



c:
RbTl2Sn2: optimized geometry, GGA-PBE.

extended XYZ file:
```
10
Lattice="-6.581 -6.990 -0.233 5.058 -4.536 -6.787 1.838 -1.816 2.583" Properties=species:S:1:pos:R:3 pbc="T T T"
Tl 3.195 -5.089 -3.267
Tl -0.439 -3.996 0.087
Sn 1.156 -2.557 -2.621
Rb -0.761 -5.763 -3.510
Sn -3.470 -4.854 -0.944
Sn -2.679 -8.968 -4.399
Tl -2.880 -8.252 -1.169
Rb 0.000 0.000 0.000
Sn 1.947 -6.671 -6.076
Tl 0.754 -9.346 -4.524
```

Calculated values
**Space-group type**: P4/mbm (127)
**Crystal system**: tetragonal



The most stable arrangement is a, and the next structure is 17 meV per atom less stable.



a:
RbTlSn4: optimized geometry, GGA-PBE.

extended XYZ file:
```
6
Lattice="-0.140 3.344 3.489 -4.728 -1.708 4.796 3.110 -2.368 5.744" Properties=species:S:1:pos:R:3 pbc="T T T"
Sn -2.143 1.015 5.640
Tl -0.809 -2.038 5.270
Sn 0.386 -1.748 8.389
Rb 0.000 0.000 0.000
Sn 0.885 0.760 6.006
Sn -2.642 -1.492 8.023
```

Calculated values
**Space-group type**: Immm (71)
**Crystal system**: orthorhombic



b:
RbTlSn4: optimized geometry, GGA-PBE.

extended XYZ file:
```
6
Lattice="-0.053 -1.572 6.250 -3.284 -5.175 1.994 3.160 -5.236 2.032" Properties=species:S:1:pos:R:3 pbc="T T T"
Rb -0.044 -2.996 2.569
Tl 0.000 0.000 0.000
Sn -0.084 -6.704 3.295
Sn -0.110 -7.492 6.424
Sn 1.534 -4.901 5.426
Sn -1.693 -4.870 5.407
```

Calculated values
**Space-group type**: F-43m (216)
**Crystal system**: cubic



The most stable arrangement is a, and the next structure is 42 meV per atom less stable.



a:
RbTl4Sn2: optimized geometry, GGA-PBE.

extended XYZ file:
```
7
Lattice="-4.261 0.094 2.949 1.958 -4.340 2.968 2.796 7.487 3.801" Properties=species:S:1:pos:R:3 pbc="T T T"
Sn 0.982 4.431 5.832
Tl -0.757 1.983 3.398
Tl 1.249 1.259 6.320
Tl 2.328 3.279 3.259
Tl 2.426 -0.132 3.510
Sn -0.489 -1.190 3.886
Rb 0.000 0.000 0.000
```

Calculated values
**Space-group type**: Cmmm (65)
**Crystal system**: orthorhombic



b:
RbTl4Sn2: optimized geometry, GGA-PBE.

extended XYZ file:
```
7
Lattice="5.634 -0.113 2.863 2.385 5.974 1.943 -0.164 -0.275 6.712" Properties=species:S:1:pos:R:3 pbc="T T T"
Rb 7.855 5.586 11.518
Tl 2.536 1.993 8.327
Sn 5.438 2.628 6.350
Tl 5.319 3.593 3.191
Tl 3.767 -0.213 6.095
Sn 2.417 2.958 5.168
Tl 4.088 5.799 5.423
```

Calculated values
**Space-group type**: C2/m (12)
**Crystal system**: monoclinic



The most stable arrangement is a, and the next structure is 34 meV per atom less stable.



a:
RbTl2Sn: optimized geometry, GGA-PBE.

extended XYZ file:
```
4
Lattice="0.000 4.057 4.057 4.057 0.000 4.057 4.057 4.057 0.000" Properties=species:S:1:pos:R:3 pbc="T T T"
Tl 2.028 2.028 2.028
Rb 0.000 0.000 0.000
Tl 6.085 6.085 6.085
Sn 4.057 4.057 4.057
```

Calculated values
**Space-group type**: Fm-3m (225)
**Crystal system**: cubic



b:
RbTl2Sn: optimized geometry, GGA-PBE.

extended XYZ file:
```
8
Lattice="5.329 0.000 0.000 0.000 6.562 -2.359 0.000 -0.663 8.552" Properties=species:S:1:pos:R:3 pbc="T T T"
Rb 1.332 1.893 0.066
Tl 1.332 4.587 3.443
Tl 1.332 5.638 0.262
Tl 3.997 0.261 5.930
Rb 3.997 4.006 6.126
Sn 3.997 4.303 1.578
Sn 1.332 1.595 4.615
Tl 3.997 1.312 2.750
```

Calculated values
**Space-group type**: P2_1/m (11)
**Crystal system**: monoclinic



c:
RbTl2Sn: optimized geometry, GGA-PBE.

extended XYZ file:
```
4
Lattice="-3.506 -0.384 3.649 -0.986 -4.511 2.107 3.317 -0.467 6.667" Properties=species:S:1:pos:R:3 pbc="T T T"
Tl -0.503 -3.929 9.690
Sn 0.000 0.000 0.000
Tl -0.672 -1.432 2.732
Rb -0.588 -2.681 6.211
```

Calculated values
**Space-group type**: R-3m (166)
**Crystal system**: trigonal



The most stable arrangement is b, and the next structure is 11 meV per atom less stable.



a:
RbTl2Sn: optimized geometry, GGA-PBE.

extended XYZ file:
```
4
Lattice="4.034 0.000 0.000 0.000 4.034 0.000 0.000 0.000 8.519" Properties=species:S:1:pos:R:3 pbc="T T T"
Tl 0.000 0.000 6.824
Tl 0.000 0.000 1.695
Sn 2.017 2.017 0.000
Rb 2.017 2.017 4.260
```

Calculated values
**Space-group type**: P4/mmm (123)
**Crystal system**: tetragonal



b:
RbTl2Sn: optimized geometry, GGA-PBE.

extended XYZ file:
```
4
Lattice="5.059 0.000 0.000 2.529 4.381 0.000 2.529 1.460 7.114" Properties=species:S:1:pos:R:3 pbc="T T T"
Sn 7.588 4.381 6.929
Tl 2.529 1.460 1.207
Tl 2.529 1.460 5.930
Rb 5.059 2.921 3.718
```

Calculated values
**Space-group type**: R3m (160)
**Crystal system**: trigonal



c:
RbTl2Sn: optimized geometry, GGA-PBE.

extended XYZ file:
```
4
Lattice="4.424 0.000 0.000 0.000 5.566 0.000 0.000 0.000 5.566" Properties=species:S:1:pos:R:3 pbc="T T T"
Sn 2.212 2.783 2.783
Tl 0.000 2.783 0.000
Tl 0.000 0.000 2.783
Rb 2.212 0.000 0.000
```

Calculated values
**Space-group type**: P4/mmm (123)
**Crystal system**: tetragonal



d:
RbTl2Sn: optimized geometry, GGA-PBE.

extended XYZ file:
```
8
Lattice="-2.272 5.211 1.081 -0.678 -1.449 5.561 8.137 5.626 5.468" Properties=species:S:1:pos:R:3 pbc="T T T"
Sn 2.195 6.359 4.935
Rb -1.475 1.881 3.321
Rb 2.992 3.029 7.175
Tl 4.103 8.752 5.149
Sn 0.000 0.000 0.000
Tl 0.204 5.230 2.893
Tl -0.619 5.616 5.904
Tl 5.094 5.838 5.794
```

Calculated values
**Space-group type**: I-42d (122)
**Crystal system**: tetragonal



The most stable arrangement is a, and the next structure is 12 meV per atom less stable.



a:
Rb2TlSn2: optimized geometry, GGA-PBE.

extended XYZ file:
```
10
Lattice="10.632 0.000 0.000 0.000 10.632 0.000 0.000 0.000 3.589" Properties=species:S:1:pos:R:3 pbc="T T T"
Sn 4.307 9.623 0.000
Sn 6.325 1.009 0.000
Rb 2.123 7.439 1.795
Tl 0.000 0.000 0.000
Tl 5.316 5.316 0.000
Sn 1.009 4.307 0.000
Rb 8.509 3.193 1.795
Sn 9.623 6.325 0.000
Rb 7.439 8.509 1.795
Rb 3.193 2.123 1.795
```

Calculated values
**Space-group type**: P4/mbm (127)
**Crystal system**: tetragonal



b:
Rb2TlSn2: optimized geometry, GGA-PBE.

extended XYZ file:
```
10
Lattice="7.529 0.000 0.000 -3.764 5.992 0.221 0.000 -2.388 9.283" Properties=species:S:1:pos:R:3 pbc="T T T"
Tl 0.614 -1.791 6.963
Rb -1.117 3.356 3.563
Sn 1.209 0.553 4.722
Sn 6.319 1.747 0.080
Tl 6.915 -0.597 2.321
Rb 4.881 0.249 5.941
Rb 2.647 1.442 1.299
Sn -2.555 1.858 9.425
Rb 1.117 2.162 8.205
Sn 2.555 3.052 4.783
```

Calculated values
**Space-group type**: C2/c (15)
**Crystal system**: monoclinic



The most stable arrangement is b, and the next structure is 152 meV per atom less stable.



a:
Rb2TlSn2: optimized geometry, GGA-PBE.

extended XYZ file:
```
5
Lattice="-4.467 -1.549 3.131 -2.203 -2.696 -4.476 0.186 -8.281 1.304" Properties=species:S:1:pos:R:3 pbc="T T T"
Sn -3.777 -9.305 0.279
Tl 0.000 0.000 0.000
Rb -2.676 -6.550 -1.922
Rb -3.808 -5.976 1.881
Sn -2.707 -3.221 -0.320
```

Calculated values
**Space-group type**: I4/mmm (139)
**Crystal system**: tetragonal



b:
Rb2TlSn2: optimized geometry, GGA-PBE.

extended XYZ file:
```
10
Lattice="-3.357 2.764 -7.293 -3.318 -6.636 -4.130 -4.631 2.266 6.793" Properties=species:S:1:pos:R:3 pbc="T T T"
Sn -10.241 -1.051 -2.995
Tl -3.347 0.319 -6.471
Sn -9.486 -1.956 -5.694
Sn -1.820 0.350 1.063
Rb -3.528 -3.154 -0.732
Tl -3.328 -4.192 -4.953
Sn -1.065 -0.555 -1.636
Rb -3.550 2.043 -2.481
Rb -7.757 -3.649 -2.150
Rb -7.778 1.548 -3.899
```

Calculated values
**Space-group type**: C2/m (12)
**Crystal system**: monoclinic



The most stable arrangement is b, and the next structure is 266 meV per atom less stable.